# TiMnMo2O GGA+U relaxed
# - crystal system = tetragonal
# - E_tot (eV per atom) = -6.668
# - spin magnetization (μB/atom) = 0.407
data_TiMnMo2O
_chemical_formula_sum 'Ti1 Mn1 Mo2 O1'
_cell_length_a 4.3040
_cell_length_b 4.3040
_cell_length_c 4.1319
_cell_angle_alpha 90.00
_cell_angle_beta 90.00
_cell_angle_gamma 90.00
_space_group_name_H-M_alt 'P 4/m m m'
_space_group_IT_number 123
_space_group_name_Hall '-P 4 2'
loop_
_atom_site_label
_atom_site_type_symbol
_atom_site_fract_x
_atom_site_fract_y
_atom_site_fract_z
Ti1 Ti 0.0000 0.0000 0.0000
Mn1 Mn 0.5000 0.5000 0.0000
Mo1 Mo 0.0000 0.5000 0.5000
O1 O 0.5000 0.5000 0.5000